Entry 1:
This record from Alexandria describes a relaxed NdTm6Sc crystal. The functional is PBE-GGA.

abc: 6.421 11.546 6.551
angles: 90.00 91.34 90.00
Space group C2/m (No. 12)
Asymmetric unit:
Nd 0.000 0.000 0.000 (multiplicity 2)
Tm 0.019 0.500 0.747 (multiplicity 4)
Tm 0.187 0.231 0.743 (multiplicity 8)
Sc 0.000 0.000 0.500 (multiplicity 2)

**Distance to the lowest polymorph of the same formula**: 1.54 eV per formula unit
**Calculated formation energy**: 230.0 meV per atom
**Total energy**: -4.51 eV per atom

=====

Entry 2:
This record from Alexandria describes a relaxed NdTm2Sc4 crystal. The functional is PBE-GGA.

abc: 6.710 8.171 8.290
angles: 118.97 90.00 101.92
Space group P1 (No. 1)
Asymmetric unit:
Nd 0.000 0.000 0.000 (multiplicity 1)
Nd 0.173 0.675 0.132 (multiplicity 1)
Tm 0.142 0.552 0.659 (multiplicity 1)
Tm 0.325 0.264 0.821 (multiplicity 1)
Tm 0.504 0.995 0.997 (multiplicity 1)
Tm 0.674 0.683 0.125 (multiplicity 1)
Sc 0.289 0.132 0.402 (multiplicity 1)
Sc 0.364 0.417 0.270 (multiplicity 1)
Sc 0.473 0.863 0.537 (multiplicity 1)
Sc 0.638 0.546 0.653 (multiplicity 1)
Sc 0.785 0.139 0.411 (multiplicity 1)
Sc 0.817 0.268 0.826 (multiplicity 1)
Sc 0.851 0.416 0.266 (multiplicity 1)
Sc 0.964 0.863 0.535 (multiplicity 1)

**Distance to the lowest polymorph of the same formula**: 0.00 eV per formula unit
**Calculated formation energy**: 49.4 meV per atom
**Total energy**: -5.53 eV per atom

=====

Entry 3:
This record from Alexandria describes a relaxed Nd8TmSc2 crystal. The functional is PBE-GGA.

abc: 9.039 16.167 5.886
angles: 90.00 121.73 90.00
Space group C2/m (No. 12)
Asymmetric unit:
Nd 0.000 0.208 0.000 (multiplicity 4)
Nd 0.081 0.500 0.795 (multiplicity 4)
Nd 0.215 0.119 0.671 (multiplicity 8)
Tm 0.000 0.000 0.000 (multiplicity 2)
Sc 0.000 0.310 0.500 (multiplicity 4)

**Distance to the lowest polymorph of the same formula**: 0.37 eV per formula unit
**Calculated formation energy**: 157.8 meV per atom
**Total energy**: -4.87 eV per atom

=====

Entry 4:
This record from Alexandria describes a relaxed NdTm6Sc6 crystal. The functional is PBE-GGA.

abc: 6.666 10.653 10.603
angles: 90.00 90.00 90.00
Space group Cmmm (No. 65)
Asymmetric unit:
Nd 0.000 0.000 0.000 (multiplicity 2)
Tm 0.000 0.000 0.338 (multiplicity 4)
Tm 0.000 0.283 0.500 (multiplicity 4)
Tm 0.000 0.352 0.000 (multiplicity 4)
Sc 0.000 0.500 0.288 (multiplicity 4)
Sc 0.250 0.250 0.228 (multiplicity 8)

**Calculated formation energy**: 202.6 meV per atom
**Total energy**: -5.15 eV per atom

=====

Entry 5:
This record from Alexandria describes a relaxed Nd2Tm2Sc crystal. The functional is PBE-GGA.

abc: 15.547 6.166 6.679
angles: 90.00 103.82 90.00
Space group C2/c (No. 15)
Asymmetric unit:
Nd 0.100 0.085 0.451 (multiplicity 8)
Tm 0.197 0.420 0.147 (multiplicity 8)
Sc 0.000 0.421 0.750 (multiplicity 4)

**Distance to the lowest polymorph of the same formula**: 0.00 eV per formula unit
**Calculated formation energy**: 35.9 meV per atom
**Total energy**: -4.93 eV per atom

=====

Entry 6:
This record from Alexandria describes a relaxed Nd5TmSc3 crystal. The functional is PBE-GGA.

abc: 14.750 11.379 9.665
angles: 90.00 129.73 90.00
Space group C2/m (No. 12)
Asymmetric unit:
Nd 0.000 0.248 0.000 (multiplicity 4)
Nd 0.137 0.248 0.738 (multiplicity 8)
Nd 0.229 0.000 0.238 (multiplicity 4)
Nd 0.248 0.000 0.586 (multiplicity 4)
Tm 0.225 0.500 0.046 (multiplicity 4)
Sc 0.000 0.000 0.500 (multiplicity 2)
Sc 0.000 0.500 0.000 (multiplicity 2)
Sc 0.008 0.000 0.823 (multiplicity 4)
Sc 0.013 0.500 0.353 (multiplicity 4)

**Calculated formation energy**: 421.3 meV per atom
**Total energy**: -4.83 eV per atom

=====

Entry 7:
This record from Alexandria describes a relaxed Nd8Tm3Sc4 crystal. The functional is PBE-GGA.

abc: 13.314 11.995 6.680
angles: 90.00 116.42 90.00
Space group C2/m (No. 12)
Asymmetric unit:
Nd 0.000 0.208 0.000 (multiplicity 4)
Nd 0.000 0.261 0.500 (multiplicity 4)
Nd 0.204 0.000 0.168 (multiplicity 4)
Nd 0.232 0.500 0.302 (multiplicity 4)
Tm 0.000 0.000 0.500 (multiplicity 2)
Tm 0.250 0.250 0.000 (multiplicity 4)
Sc 0.000 0.500 0.000 (multiplicity 2)
Sc 0.000 0.500 0.500 (multiplicity 2)
Sc 0.250 0.250 0.500 (multiplicity 4)

**Calculated formation energy**: 346.0 meV per atom
**Total energy**: -4.78 eV per atom

=====

Entry 8:
This record from Alexandria describes a relaxed Nd4Tm8Sc crystal. The functional is PBE-GGA.

abc: 10.9041 10.9041 13.3139
angles: 90.00 90.00 120.00
Space group R-3m (No. 166, hexagonal axes)
Asymmetric unit:
Nd 0.0000 0.0000 0.0000 (multiplicity 3)
Nd 0.0000 0.5000 0.0000 (multiplicity 9)
Tm 0.0000 0.0000 0.2427 (multiplicity 6)
Tm 0.0091 0.5046 0.7469 (multiplicity 18)
Sc 0.0000 0.0000 0.5000 (multiplicity 3)

**Calculated formation energy**: 539.6 meV per atom
**Total energy**: -4.17 eV per atom

=====

Entry 9:
This record from Alexandria describes a relaxed NdTm3Sc crystal. The functional is PBE-GGA.

abc: 6.142 6.575 8.253
angles: 77.69 68.32 89.95
Space group P-1 (No. 2)
Asymmetric unit:
Nd 0.218 0.347 0.402 (multiplicity 2)
Tm 0.017 0.948 0.803 (multiplicity 2)
Tm 0.391 0.844 0.398 (multiplicity 2)
Tm 0.413 0.748 0.001 (multiplicity 2)
Sc 0.177 0.449 0.810 (multiplicity 2)

**Calculated formation energy**: 19.2 meV per atom
**Total energy**: -4.88 eV per atom

=====

Entry 10:
This record from Alexandria describes a relaxed Nd3TmSc2 crystal. The functional is PBE-GGA.

abc: 17.194 7.043 6.061
angles: 90.00 90.59 90.00
Space group C2/c (No. 15)
Asymmetric unit:
Nd 0.000 0.123 0.250 (multiplicity 4)
Nd 0.169 0.374 0.414 (multiplicity 8)
Tm 0.000 0.373 0.750 (multiplicity 4)
Sc 0.167 0.124 0.919 (multiplicity 8)

**Distance to the lowest polymorph of the same formula**: 0.00 eV per formula unit
**Calculated formation energy**: 59.4 meV per atom
**Total energy**: -5.18 eV per atom

=====

Entry 11:
This record from Alexandria describes a relaxed Nd4Tm5Sc2 crystal. The functional is PBE-GGA.

abc: 3.460 11.330 18.268
angles: 90.00 90.00 90.00
Space group Immm (No. 71)
Asymmetric unit:
Nd 0.000 0.000 0.094 (multiplicity 4)
Nd 0.000 0.261 0.500 (multiplicity 4)
Tm 0.000 0.287 0.319 (multiplicity 8)
Tm 0.000 0.500 0.000 (multiplicity 2)
Sc 0.000 0.000 0.285 (multiplicity 4)

**Distance to the lowest polymorph of the same formula**: 2.30 eV per formula unit
**Calculated formation energy**: 282.7 meV per atom
**Total energy**: -4.63 eV per atom

=====

Entry 12:
This record from Alexandria describes a relaxed NdTm3Sc4 crystal. The functional is PBE-GGA.

abc: 10.772 6.939 5.981
angles: 90.00 90.00 90.00
Space group Pmn2_1 (No. 31)
Asymmetric unit:
Nd 0.000 0.134 0.000 (multiplicity 2)
Tm 0.000 0.867 0.498 (multiplicity 2)
Tm 0.249 0.866 0.843 (multiplicity 4)
Sc 0.000 0.384 0.507 (multiplicity 2)
Sc 0.000 0.617 0.007 (multiplicity 2)
Sc 0.247 0.617 0.336 (multiplicity 4)

**Calculated formation energy**: 26.7 meV per atom
**Total energy**: -5.41 eV per atom

=====

Among the records above, which one has the lowest total energy?
NdTm2Sc4

=====

Among the records above, which one has the highest calculated formation energy?
Nd4Tm8Sc

=====

calculated formation energy of number 3 (Nd8TmSc2)?
157.8 meV per atom

=====

The highest calculated formation energy belongs to which entry?
Nd4Tm8Sc